Entry 1:
PmPrLuHg | Alexandria via LeMat-Bulk | PBE-GGA | relaxed; excess energy over the best structure of this formula in the dataset = 0.000 eV/atom; D(E_F) = 21.153 states/eV/cell; energy = -3.68 eV per atom
1.0
7.786 0.000 0.000
0.000 7.786 0.000
0.000 0.000 7.786
Pm Pr Lu Hg
4 4 4 4
Cartesian
0.000 0.000 0.000
0.000 3.893 3.893
3.893 0.000 3.893
3.893 3.893 0.000
0.000 0.000 3.893
0.000 3.893 0.000
3.893 0.000 0.000
3.893 3.893 3.893
1.947 1.947 1.947
1.947 5.840 5.840
5.840 1.947 5.840
5.840 5.840 1.947
1.947 1.947 5.840
1.947 5.840 1.947
5.840 1.947 1.947
5.840 5.840 5.840

***

Entry 2:
ZrTiB3 | Alexandria via LeMat-Bulk | PBE-GGA | relaxed; excess energy over the best structure of this formula in the dataset = 0.000 eV/atom; D(E_F) = 1.340 states/eV/cell; energy = -6.73 eV per atom
1.0
4.001 0.000 0.000
0.000 4.001 0.000
0.000 0.000 4.001
Zr Ti B
1 1 3
Cartesian
0.000 0.000 0.000
2.001 2.001 2.001
0.000 2.001 2.001
2.001 0.000 2.001
2.001 2.001 0.000

***

Entry 3:
HgH9C3SI3 | Alexandria via LeMat-Bulk | PBE-GGA | relaxed; D(E_F) = 0.000 states/eV/cell; energy = -4.16 eV per atom
1.0
9.174 0.000 0.000
0.000 15.806 0.000
-8.059 0.000 9.501
Hg H C S I
4 36 12 4 12
Cartesian
-2.153 0.723 4.277
-6.182 7.180 9.027
7.298 8.626 0.474
3.269 15.083 5.225
-5.703 10.967 6.744
-1.674 12.742 1.993
-6.987 1.921 8.755
-2.958 5.982 4.005
-6.443 3.583 9.243
-2.414 4.320 4.493
-3.762 3.901 7.530
0.268 4.002 2.780
0.607 9.459 3.486
-3.423 14.250 8.236
2.833 0.979 1.264
-1.196 6.924 6.014
0.126 3.592 4.539
-3.904 4.311 9.290
-0.340 11.127 5.556
3.689 12.582 0.806
3.201 2.732 1.550
-0.828 5.171 6.300
1.944 10.635 3.201
-2.085 13.074 7.952
-2.573 3.224 8.696
1.456 4.679 3.945
5.019 11.495 0.211
0.990 12.214 4.962
2.312 8.882 3.487
-1.717 14.827 8.238
4.539 1.556 1.265
0.509 6.347 6.016
0.848 11.804 6.722
4.878 11.905 1.971
3.530 11.486 5.009
7.559 12.223 0.258
4.074 9.824 5.497
8.103 13.885 0.746
2.790 3.064 7.508
6.819 4.839 2.758
-6.290 2.744 8.553
-2.261 5.159 3.802
-3.614 3.545 8.557
0.416 4.358 3.807
3.499 1.818 1.021
-0.530 6.085 5.772
1.646 9.721 3.730
-2.383 13.988 8.480
0.700 11.448 5.695
4.730 12.261 0.944
3.377 10.647 5.699
7.406 13.062 0.948
-4.634 2.080 8.746
-0.605 5.823 3.996
1.720 9.983 5.506
5.750 13.726 0.755
-2.421 9.249 3.122
-6.450 14.460 7.873
-7.157 9.903 9.411
-3.128 13.806 4.660
-2.194 9.450 7.745
1.835 14.259 2.994
-0.719 1.547 6.507
3.310 6.356 1.756
4.243 2.000 4.841
8.273 5.903 0.091
7.566 1.346 1.629
3.537 6.557 6.379

***

Entry 4:
CeCdNiIr | Alexandria via LeMat-Bulk | PBE-GGA | relaxed; D(E_F) = 16.608 states/eV/cell; energy = -5.64 eV per atom
1.0
6.688 0.000 0.000
0.000 6.688 0.000
0.000 0.000 6.688
Ce Cd Ni Ir
4 4 4 4
Cartesian
0.000 0.000 0.000
0.000 3.344 3.344
3.344 0.000 3.344
3.344 3.344 0.000
0.000 0.000 3.344
0.000 3.344 0.000
3.344 0.000 0.000
3.344 3.344 3.344
1.672 1.672 1.672
1.672 5.016 5.016
5.016 1.672 5.016
5.016 5.016 1.672
1.672 1.672 5.016
1.672 5.016 1.672
5.016 1.672 1.672
5.016 5.016 5.016

***

Entry 5:
TmGa3I6 | Alexandria via LeMat-Bulk | PBE-GGA | relaxed; ΔE_f (raw) = -7.4 eV/f.u.; D(E_F) = 0.000 states/eV/cell; energy = -3.02 eV per atom
1.0
7.819 0.000 0.000
0.000 8.862 0.000
-7.207 0.000 11.606
Tm Ga I
2 6 12
Cartesian
0.000 0.000 0.000
-3.603 4.431 5.803
-3.271 0.974 9.334
0.333 3.457 3.531
0.306 0.000 5.803
3.909 4.431 0.000
0.280 5.405 8.075
3.883 7.888 2.272
-1.000 0.510 2.789
-4.603 3.921 8.592
1.331 6.325 0.935
-2.272 6.968 6.738
2.532 1.522 0.580
-1.072 2.909 6.383
1.684 5.953 5.224
-1.919 7.340 11.027
2.885 1.894 4.868
-0.719 2.537 10.671
5.215 4.941 3.014
1.612 8.352 8.817

***

Entry 6:
SnSeOF2 | Alexandria via LeMat-Bulk | PBE-GGA | relaxed; ΔE_f (raw) = -3.7 eV/f.u.; excess energy over the best structure of this formula in the dataset = 0.279 eV/atom; D(E_F) = 3.474 states/eV/cell; energy = -3.98 eV per atom
1.0
4.734 0.000 0.000
0.000 4.734 0.000
0.000 0.000 3.806
Sn Se O F
1 1 1 2
Cartesian
0.000 0.000 0.000
2.367 2.367 1.903
2.367 2.367 0.000
0.000 2.367 1.903
2.367 0.000 1.903

***

Entry 7:
Pm6P2S3O | Alexandria via LeMat-Bulk | PBE-GGA | relaxed; ΔE_f (raw) = -23.7 eV/f.u.; D(E_F) = 4.478 states/eV/cell; energy = -6.70 eV per atom
1.0
8.742 -1.994 0.000
8.742 1.994 0.000
-1.979 0.000 7.791
Pm P S O
6 2 3 1
Cartesian
17.036 0.000 1.763
-1.530 0.000 6.027
4.979 0.000 3.270
4.252 0.000 7.175
11.254 0.000 0.615
10.527 0.000 4.521
2.220 0.000 2.571
13.286 0.000 5.220
1.326 0.000 6.520
7.753 0.000 3.895
14.180 0.000 1.271
8.742 0.000 0.000

***

Entry 8:
KPbAuCl2 | Alexandria via LeMat-Bulk | PBE-GGA | relaxed; ΔE_f (raw) = -2.4 eV/f.u.; D(E_F) = 0.000 states/eV/cell; energy = -2.83 eV per atom
1.0
5.458 0.000 0.000
0.000 5.458 0.000
0.000 0.000 11.843
K Pb Au Cl
1 1 1 2
Cartesian
0.000 0.000 0.000
0.000 0.000 5.922
2.729 2.729 0.000
0.000 2.729 5.922
2.729 0.000 5.922

***

Entry 9:
Cd5Ag5Au2 | Alexandria via LeMat-Bulk | PBE-GGA | relaxed; excess energy over the best structure of this formula in the dataset = 0.013 eV/atom; D(E_F) = 3.716 states/eV/cell; energy = -2.17 eV per atom
1.0
6.941 -2.411 0.000
6.941 2.411 0.000
-4.268 0.000 6.905
Cd Ag Au
5 5 2
Cartesian
0.000 0.000 0.000
-0.507 0.000 2.961
-1.211 0.000 5.832
10.826 0.000 1.073
10.122 0.000 3.944
2.415 0.000 1.827
5.401 0.000 0.631
4.807 0.000 3.453
4.214 0.000 6.274
7.199 0.000 5.078
1.820 0.000 4.745
7.795 0.000 2.160

***

Entry 10:
Ac2Zn6PdRh | Alexandria via LeMat-Bulk | PBE-GGA | relaxed; D(E_F) = 8.089 states/eV/cell; energy = -3.16 eV per atom
1.0
-3.427 3.427 4.838
3.427 -3.427 4.838
3.427 3.427 -4.838
Ac Zn Pd Rh
2 6 1 1
Cartesian
3.427 0.000 2.419
0.000 3.427 2.419
0.000 0.000 2.409
1.707 1.707 0.000
1.720 -1.720 4.838
-1.720 1.720 4.838
0.000 0.000 7.267
1.720 1.720 4.838
0.000 0.000 4.838
0.000 0.000 0.000

***

Entry 11:
Li12In2Rh | Alexandria via LeMat-Bulk | PBE-GGA | relaxed; D(E_F) = 6.069 states/eV/cell; energy = -2.51 eV per atom
1.0
4.687 -2.509 0.000
4.687 2.509 0.000
-0.844 0.000 11.070
Li In Rh
12 2 1
Cartesian
2.268 1.279 4.275
-0.040 0.000 4.331
0.235 0.000 9.498
1.676 0.000 1.795
2.649 0.000 10.822
6.262 1.279 6.796
2.268 -1.279 4.275
5.882 0.000 0.248
6.854 0.000 9.275
8.295 0.000 1.572
8.570 0.000 6.740
6.262 -1.279 6.796
3.884 0.000 8.260
4.647 0.000 2.810
4.265 0.000 5.535

***

Entry 12:
AcTbPd | Alexandria via LeMat-Bulk | PBE-GGA | relaxed; excess energy over the best structure of this formula in the dataset = 0.081 eV/atom; D(E_F) = 6.143 states/eV/cell; energy = -5.12 eV per atom
1.0
3.718 0.000 0.000
0.000 3.718 0.000
0.000 0.000 12.922
Ac Tb Pd
2 2 2
Cartesian
0.000 0.000 0.000
1.859 1.859 6.461
0.000 0.000 3.499
1.859 1.859 9.960
0.000 0.000 8.544
1.859 1.859 2.083

***

Repeat the eleventh record exactly.
Li12In2Rh | Alexandria via LeMat-Bulk | PBE-GGA | relaxed; D(E_F) = 6.069 states/eV/cell; energy = -2.51 eV per atom
1.0
4.687 -2.509 0.000
4.687 2.509 0.000
-0.844 0.000 11.070
Li In Rh
12 2 1
Cartesian
2.268 1.279 4.275
-0.040 0.000 4.331
0.235 0.000 9.498
1.676 0.000 1.795
2.649 0.000 10.822
6.262 1.279 6.796
2.268 -1.279 4.275
5.882 0.000 0.248
6.854 0.000 9.275
8.295 0.000 1.572
8.570 0.000 6.740
6.262 -1.279 6.796
3.884 0.000 8.260
4.647 0.000 2.810
4.265 0.000 5.535

***

Q: Number 5 is which compound?
A: TmGa3I6

***

Q: Among the records above, which one has the highest energy?
A: Cd5Ag5Au2

***

Q: Look up the D(E_F) of the second one.
A: 1.340 states/eV/cell